[1]
A plane-wave DFT calculation with PBE was carried out for a relaxed TbPuZr crystal.

abc: 7.5422 7.5422 7.5422
angles: 154.39 154.39 36.54
Closest atoms and distances in Å follow each position.
Element x y z (fractional)
Tb (0.0000, 0.0000, 0.0000)  4 Tb 3.34, 4 Zr 3.37, 4 Pu 3.50
Pu (0.6803, 0.6803, 0.0000)  4 Zr 3.22, 4 Pu 3.34, 4 Tb 3.50
Zr (0.3327, 0.3327, 0.0000)  4 Pu 3.22, 4 Zr 3.34, 4 Tb 3.37

The value obtained for the calculated formation energy is 0.139 eV/atom. As for the space group: I4mm, No. 107. Its energy above the most stable polymorph in this dataset is 0 meV/atom. As for the magnetization: 1.89 μB/atom.

=====

[2]
A plane-wave DFT calculation with PBE was carried out for a relaxed TbPuZr crystal.

abc: 8.3767 8.3767 8.3767
angles: 23.32 23.32 23.32
Closest atoms and distances in Å follow each position.
Element x y z (fractional)
Tb (0.0000, 0.0000, 0.0000)  3 Zr 3.34, 6 Tb 3.39, 3 Pu 3.49
Pu (0.7850, 0.7850, 0.7850)  3 Zr 3.21, 6 Pu 3.39, 3 Tb 3.49
Zr (0.2224, 0.2224, 0.2224)  3 Pu 3.21, 3 Tb 3.34, 6 Zr 3.39

The value obtained for the calculated formation energy is 0.157 eV/atom. As for the space group: R3m, No. 160. Its energy above the most stable polymorph in this dataset is 18 meV/atom. As for the magnetization: 1.87 μB/atom.

=====

[3]
A plane-wave DFT calculation with PBE was carried out for a relaxed TbPuZr crystal.

abc: 5.2984 5.2984 3.2428
angles: 90.00 90.00 120.00
Closest atoms and distances in Å follow each position.
Element x y z (fractional)
Tb (0.0000, 0.0000, 0.0000)  2 Tb 3.24, 6 Zr 3.46, 6 Pu 3.46
Pu (0.6667, 0.3333, 0.5000)  3 Zr 3.06, 2 Pu 3.24
Zr (0.3333, 0.6667, 0.5000)  3 Pu 3.06, 2 Zr 3.24

The value obtained for the calculated formation energy is 0.183 eV/atom. As for the space group: P-6m2, No. 187. Its energy above the most stable polymorph in this dataset is 43 meV/atom. As for the magnetization: 1.74 μB/atom.

=====

The highest calculated formation energy belongs to which entry? number 3

=====

Number 1 is which compound? TbPuZr

=====

What did the third record say?
A plane-wave DFT calculation with PBE was carried out for a relaxed TbPuZr crystal.

abc: 5.2984 5.2984 3.2428
angles: 90.00 90.00 120.00
Closest atoms and distances in Å follow each position.
Element x y z (fractional)
Tb (0.0000, 0.0000, 0.0000)  2 Tb 3.24, 6 Zr 3.46, 6 Pu 3.46
Pu (0.6667, 0.3333, 0.5000)  3 Zr 3.06, 2 Pu 3.24
Zr (0.3333, 0.6667, 0.5000)  3 Pu 3.06, 2 Zr 3.24

The value obtained for the calculated formation energy is 0.183 eV/atom. As for the space group: P-6m2, No. 187. Its energy above the most stable polymorph in this dataset is 43 meV/atom. As for the magnetization: 1.74 μB/atom.